VASP calculation (PBE) on a relaxed AcPbI crystal.

Summary:
For the polymorph energy (0 for the lowest one), the calculation gives 0.000 eV/atom. For the density of states at the Fermi level, the calculation gives 0.84 states/eV/f.u. The total energy comes out at -3.97 eV per atom. Its formation energy (no corrections) is -0.848 eV per atom. As for the calculated volume: 44.4 Å³/atom.

Geometry as POSCAR:
```
AcPbI
1.0
8.862 0.000 0.000
0.000 5.123 0.000
-0.026 0.000 11.728
Ac Pb I
4 4 4
Cartesian
-0.003 0.000 2.191
8.839 0.000 9.537
4.427 2.562 2.191
4.409 2.562 9.537
1.452 2.562 11.423
2.953 0.000 0.305
5.883 0.000 11.423
7.384 2.562 0.305
1.472 2.562 4.060
2.933 0.000 7.668
5.903 0.000 4.060
7.364 2.562 7.668
```